Entry 1:
Entry from OQMD: an optimized crystal structure of RbCuTcTe3 (PBE-GGA).

Summary:
* offset from the most stable computed form: 7 meV per atom
* ρ: 6.0 Mg/m³

```
data_RbCuTcTe3
_chemical_formula_sum 'Rb4 Cu4 Tc4 Te12'
_cell_length_a 16.2337
_cell_length_b 4.0386
_cell_length_c 10.6128
_cell_angle_alpha 90.00
_cell_angle_beta 90.00
_cell_angle_gamma 90.00
_space_group_name_H-M_alt 'P n m a'
_space_group_IT_number 62
_space_group_name_Hall '-P 2ac 2n'
loop_
_atom_site_label
_atom_site_type_symbol
_atom_site_fract_x
_atom_site_fract_y
_atom_site_fract_z
Rb1 Rb 0.2408 0.2500 0.0554
Cu1 Cu 0.0123 0.7500 0.0986
Tc1 Tc 0.0130 0.2500 0.3191
Te1 Te 0.0721 0.2500 0.5657
Te2 Te 0.0907 0.7500 0.8764
Te3 Te 0.1209 0.7500 0.2711
```



Entry 2:
Entry from OQMD: an optimized crystal structure of LuInCuAg (PBE-GGA).

Summary:
* offset from the most stable computed form: 0 meV per atom
* ρ: 10.0 Mg/m³

```
data_LuInCuAg
_chemical_formula_sum 'Lu4 In4 Cu4 Ag4'
_cell_length_a 6.7487
_cell_length_b 6.7487
_cell_length_c 6.7487
_cell_angle_alpha 90.00
_cell_angle_beta 90.00
_cell_angle_gamma 90.00
_space_group_name_H-M_alt 'F -4 3 m'
_space_group_IT_number 216
_space_group_name_Hall 'F -4 2 3'
loop_
_atom_site_label
_atom_site_type_symbol
_atom_site_fract_x
_atom_site_fract_y
_atom_site_fract_z
Lu1 Lu 0.0000 0.0000 0.0000
In1 In 0.0000 0.0000 0.5000
Cu1 Cu 0.2500 0.2500 0.7500
Ag1 Ag 0.2500 0.2500 0.2500
```



Entry 3:
Entry from OQMD: an optimized crystal structure of PaMoW (PBE-GGA).

Summary:
* offset from the most stable computed form: 0 meV per atom
* ρ: 13.1 Mg/m³
* formation energy from the elements: 0.646 eV per atom

```
data_PaMoW
_chemical_formula_sum 'Pa4 Mo4 W4'
_cell_length_a 6.3716
_cell_length_b 6.3716
_cell_length_c 6.3716
_cell_angle_alpha 90.00
_cell_angle_beta 90.00
_cell_angle_gamma 90.00
_space_group_name_H-M_alt 'F -4 3 m'
_space_group_IT_number 216
_space_group_name_Hall 'F -4 2 3'
loop_
_atom_site_label
_atom_site_type_symbol
_atom_site_fract_x
_atom_site_fract_y
_atom_site_fract_z
Pa1 Pa 0.0000 0.0000 0.0000
Mo1 Mo 0.2500 0.2500 0.2500
W1 W 0.0000 0.0000 0.5000
```



Entry 4:
Entry from OQMD: an optimized crystal structure of ZrZnNO (PBE-GGA).

Summary:
* offset from the most stable computed form: 35 meV per atom
* ρ: 6.7 Mg/m³

```
data_ZrZnNO
_chemical_formula_sum 'Zr2 Zn2 N2 O2'
_cell_length_a 4.5440
_cell_length_b 4.5440
_cell_length_c 4.4589
_cell_angle_alpha 90.00
_cell_angle_beta 90.00
_cell_angle_gamma 90.00
_space_group_name_H-M_alt 'P 4/n m m'
_space_group_IT_number 129
loop_
_space_group_symop_operation_xyz
'x,y,z'
'-x,-y,-z'
'-y+1/2,x,z'
'y+1/2,-x,-z'
'-x+1/2,-y+1/2,z'
'x+1/2,y+1/2,-z'
'y,-x+1/2,z'
'-y,x+1/2,-z'
'x+1/2,-y,-z'
'-x+1/2,y,z'
'-y,-x,-z'
'y,x,z'
'-x,y+1/2,-z'
'x,-y+1/2,z'
'y+1/2,x+1/2,-z'
'-y+1/2,-x+1/2,z'
loop_
_atom_site_label
_atom_site_type_symbol
_atom_site_fract_x
_atom_site_fract_y
_atom_site_fract_z
Zr1 Zr 0.2500 0.7500 0.0000
Zn1 Zn 0.2500 0.2500 0.4951
N1 N 0.2500 0.2500 0.9945
O1 O 0.2500 0.7500 0.5000
```



Entry 5:
Entry from OQMD: an optimized crystal structure of Sr2In4CoPd (PBE-GGA).

Summary:
* ρ: 6.8 Mg/m³
* total energy: -3.705 eV/atom

```
data_Sr2In4CoPd
_chemical_formula_sum 'Sr4 In8 Co2 Pd2'
_cell_length_a 7.9426
_cell_length_b 4.4519
_cell_length_c 11.1265
_cell_angle_alpha 90.00
_cell_angle_beta 90.00
_cell_angle_gamma 90.00
_space_group_name_H-M_alt 'A m m 2'
_space_group_IT_number 38
_space_group_name_Hall 'A 2 -2'
loop_
_atom_site_label
_atom_site_type_symbol
_atom_site_fract_x
_atom_site_fract_y
_atom_site_fract_z
Sr1 Sr 0.0000 0.0000 0.0000
Sr2 Sr 0.5000 0.0000 0.1139
In1 In 0.1878 0.0000 0.7123
In2 In 0.2946 0.0000 0.3971
Co1 Co 0.0000 0.0000 0.2744
Pd1 Pd 0.5000 0.0000 0.8356
```



Entry 6:
Entry from OQMD: an optimized crystal structure of CdIrNO (PBE-GGA).

Summary:
* offset from the most stable computed form: 242 meV per atom
* ρ: 10.3 Mg/m³

```
data_CdIrNO
_chemical_formula_sum 'Cd2 Ir2 N2 O2'
_cell_length_a 3.0396
_cell_length_b 6.9132
_cell_length_c 5.1397
_cell_angle_alpha 90.00
_cell_angle_beta 90.00
_cell_angle_gamma 90.00
_space_group_name_H-M_alt 'P m c 21'
_space_group_IT_number 26
_space_group_name_Hall 'P 2c -2'
loop_
_atom_site_label
_atom_site_type_symbol
_atom_site_fract_x
_atom_site_fract_y
_atom_site_fract_z
Cd1 Cd 0.0000 0.1191 0.0000
Ir1 Ir 0.5000 0.4172 0.5093
N1 N 0.5000 0.3307 0.1414
O1 O 0.0000 0.1988 0.5706
```



Entry 7:
Entry from OQMD: an optimized crystal structure of MgBeCd (PBE-GGA).

Summary:
* offset from the most stable computed form: 0 meV per atom
* ρ: 4.1 Mg/m³

```
data_MgBeCd
_chemical_formula_sum 'Mg4 Be4 Cd4'
_cell_length_a 6.1796
_cell_length_b 6.1796
_cell_length_c 6.1796
_cell_angle_alpha 90.00
_cell_angle_beta 90.00
_cell_angle_gamma 90.00
_space_group_name_H-M_alt 'F -4 3 m'
_space_group_IT_number 216
_space_group_name_Hall 'F -4 2 3'
loop_
_atom_site_label
_atom_site_type_symbol
_atom_site_fract_x
_atom_site_fract_y
_atom_site_fract_z
Mg1 Mg 0.0000 0.0000 0.0000
Be1 Be 0.0000 0.0000 0.5000
Cd1 Cd 0.2500 0.2500 0.7500
```



Entry 8:
Entry from OQMD: an optimized crystal structure of Nb3PbN2 (PBE-GGA).

Summary:
* ρ: 9.8 Mg/m³
* total energy: -8.938 eV/atom

```
data_Nb3PbN2
_chemical_formula_sum 'Nb6 Pb2 N4'
_cell_length_a 3.2074
_cell_length_b 3.2074
_cell_length_c 19.4927
_cell_angle_alpha 90.00
_cell_angle_beta 90.00
_cell_angle_gamma 120.00
_space_group_name_H-M_alt 'P 63/m m c'
_space_group_IT_number 194
_space_group_name_Hall '-P 6c 2c'
loop_
_atom_site_label
_atom_site_type_symbol
_atom_site_fract_x
_atom_site_fract_y
_atom_site_fract_z
Nb1 Nb 0.0000 0.0000 0.0000
Nb2 Nb 0.3333 0.6667 0.1244
Pb1 Pb 0.0000 0.0000 0.2500
N1 N 0.3333 0.6667 0.5642
```